(1)
Nb3Ag2Cl9, optimized geometry, DFT GGA-PBE; calculated volume = 369 Å³/f.u.; density = 3.7 g/cm3; space-group type = C2/m (12); total moment = 0.0 μB/cell; final energy = -4.7823 eV/atom; formation energy (no corrections) = -99 kJ per mole of atoms
1.0
5.3703 -7.8686 0.0000
5.3703 7.8686 0.0000
-4.0544 0.0000 8.7396
Nb Ag Cl
6 4 18
direct
0.0281 0.2143 0.1464
0.1264 0.1264 0.8864
0.2143 0.0281 0.1464
0.7857 0.9719 0.8536
0.8736 0.8736 0.1136
0.9719 0.7857 0.8536
0.1409 0.4214 0.6006
0.4214 0.1409 0.6006
0.5786 0.8591 0.3994
0.8591 0.5786 0.3994
0.0765 0.4896 0.3475
0.1030 0.8830 0.3076
0.1170 0.8970 0.6924
0.1821 0.4014 0.0381
0.2196 0.7804 0.0000
0.2901 0.2901 0.3435
0.2958 0.2958 0.7364
0.4014 0.1821 0.0381
0.4896 0.0765 0.3475
0.5104 0.9235 0.6525
0.5986 0.8179 0.9619
0.7042 0.7042 0.2636
0.7099 0.7099 0.6565
0.7804 0.2196 0.0000
0.8179 0.5986 0.9619
0.8830 0.1030 0.3076
0.8970 0.1170 0.6924
0.9235 0.5104 0.6525

***

(2)
NpCdP2Rh5, optimized geometry, DFT GGA-PBE; calculated volume = 167 Å³/f.u.; density = 9.2 g/cm3; ΔH_f (0 K) = -3.11 eV per formula unit; space-group type = P4/mmm (123); total moment = 3.8 μB/cell; final energy = -7.1717 eV/atom
1.0
3.9952 0.0000 0.0000
0.0000 3.9952 0.0000
0.0000 0.0000 10.4927
Np Cd P Rh
1 1 2 5
direct
0.0000 0.0000 0.0000
0.0000 0.0000 0.5000
0.5000 0.5000 0.2170
0.5000 0.5000 0.7830
0.0000 0.5000 0.3153
0.0000 0.5000 0.6847
0.5000 0.0000 0.3153
0.5000 0.0000 0.6847
0.5000 0.5000 0.0000

***

(3)
BaMg6, optimized geometry, DFT GGA-PBE; calculated volume = 259 Å³/f.u.; excess energy over the best structure of this formula in the dataset = 43.2 kJ per mole of atoms; density = 1.8 g/cm3; ΔH_f (0 K) = 2.82 eV per formula unit; space-group type = Im-3m (229); total moment = 0.0 μB/cell; final energy = -1.2390 eV/atom
1.0
-4.0162 4.0162 4.0162
4.0162 -4.0162 4.0162
4.0162 4.0162 -4.0162
Ba Mg
1 6
direct
0.0000 0.0000 0.0000
0.2500 0.5000 0.7500
0.2500 0.7500 0.5000
0.5000 0.2500 0.7500
0.5000 0.7500 0.2500
0.7500 0.2500 0.5000
0.7500 0.5000 0.2500